Computed, not measured: crystalline K3MoF6 at its relaxed geometry at the GGA+U level of DFT.

Values from the calculation:
magnetization	0.300	μB per atom
energy above the most stable polymorph in this dataset	0.050	eV per atom
uncorrected energy	-4.901	eV per atom
mass density	2.80	Mg/m³

```
data_K3MoF6
_chemical_formula_sum 'K12 Mo4 F24'
_cell_length_a 9.194
_cell_length_b 9.194
_cell_length_c 9.194
_cell_angle_alpha 90.00
_cell_angle_beta 90.00
_cell_angle_gamma 90.00
_space_group_name_H-M_alt 'F m -3 m'
_space_group_IT_number 225
_space_group_name_Hall '-F 4 2 3'
loop_
_atom_site_label
_atom_site_type_symbol
_atom_site_fract_x
_atom_site_fract_y
_atom_site_fract_z
K1 K 0.000 0.000 0.000
K2 K 0.250 0.250 0.250
Mo1 Mo 0.000 0.000 0.500
F1 F 0.000 0.000 0.272
```